Material: CaAsSe2O
Method: DFT, PBE
State: relaxed

It has space group P4/mmm (No. 123), with a = 5.326 Å, b = 5.326 Å, c = 5.594 Å, α = 90.00°, β = 90.00° and γ = 90.00°. Symmetry generates all atoms from Ca at (0.000, 0.000, 0.000), As at (0.000, 0.000, 0.500), Se at (0.000, 0.500, 0.000) and O at (0.500, 0.500, 0.500).

The volume comes out at 158.7 Å³ per cell. The value obtained for the formation energy (no corrections) is 5.02 eV/f.u.

***

Material: CaAsSeO2
Method: DFT, PBE
State: relaxed

It has space group P4/mmm (No. 123), with a = 4.180 Å, b = 4.180 Å, c = 5.877 Å, α = 90.00°, β = 90.00° and γ = 90.00°. Symmetry generates all atoms from Ca at (0.000, 0.000, 0.000), As at (0.500, 0.500, 0.500), Se at (0.000, 0.000, 0.500) and O at (0.000, 0.500, 0.000).

The volume comes out at 102.7 Å³ per cell. The value obtained for the formation energy (no corrections) is -0.75 eV/f.u.

***

Please write out number 1 again, unchanged.
Material: CaAsSe2O
Method: DFT, PBE
State: relaxed

It has space group P4/mmm (No. 123), with a = 5.326 Å, b = 5.326 Å, c = 5.594 Å, α = 90.00°, β = 90.00° and γ = 90.00°. Symmetry generates all atoms from Ca at (0.000, 0.000, 0.000), As at (0.000, 0.000, 0.500), Se at (0.000, 0.500, 0.000) and O at (0.500, 0.500, 0.500).

The volume comes out at 158.7 Å³ per cell. The value obtained for the formation energy (no corrections) is 5.02 eV/f.u.

***

Copy entry 2 word for word.
Material: CaAsSeO2
Method: DFT, PBE
State: relaxed

It has space group P4/mmm (No. 123), with a = 4.180 Å, b = 4.180 Å, c = 5.877 Å, α = 90.00°, β = 90.00° and γ = 90.00°. Symmetry generates all atoms from Ca at (0.000, 0.000, 0.000), As at (0.500, 0.500, 0.500), Se at (0.000, 0.000, 0.500) and O at (0.000, 0.500, 0.000).

The volume comes out at 102.7 Å³ per cell. The value obtained for the formation energy (no corrections) is -0.75 eV/f.u.